Entry 1:
# PmNd2Pd4

A relaxed structure of PmNd2Pd4 (PBE, the Alexandria database).

Output
calculated density	7.2	g cm⁻³
crystal system	tetragonal
V	397.6	Å³/cell
energy of formation	-101	kJ/mol of formula units
SG	I4/mmm
DFT total energy	-5.157	eV per atom

a b c (Å): 5.152 5.152 14.982
angles (deg): 90.00 90.00 90.00
Element x y z (fractional)
Pm (0.000, 0.000, 0.000)
Pm (0.500, 0.500, 0.500)
Nd (0.000, 0.000, 0.366)
Nd (0.000, 0.000, 0.634)
Nd (0.500, 0.500, 0.134)
Nd (0.500, 0.500, 0.866)
Pd (0.000, 0.000, 0.184)
Pd (0.000, 0.000, 0.816)
Pd (0.000, 0.500, 0.000)
Pd (0.000, 0.500, 0.500)
Pd (0.500, 0.000, 0.000)
Pd (0.500, 0.000, 0.500)
Pd (0.500, 0.500, 0.316)
Pd (0.500, 0.500, 0.684)

=====

Entry 2:
# GdYErZn

A relaxed structure of GdYErZn (PBE, the Alexandria database).

Output
calculated density	7.4	g cm⁻³
crystal system	cubic
V	430.0	Å³/cell
energy of formation	12	kJ/mol of formula units
SG	F-43m
DFT total energy	-6.565	eV per atom

a b c (Å): 7.548 7.548 7.548
angles (deg): 90.00 90.00 90.00
Element x y z (fractional)
Gd (0.000, 0.000, 0.000)
Gd (0.000, 0.500, 0.500)
Gd (0.500, 0.000, 0.500)
Gd (0.500, 0.500, 0.000)
Y (0.000, 0.000, 0.500)
Y (0.000, 0.500, 0.000)
Y (0.500, 0.000, 0.000)
Y (0.500, 0.500, 0.500)
Er (0.250, 0.250, 0.750)
Er (0.250, 0.750, 0.250)
Er (0.750, 0.250, 0.250)
Er (0.750, 0.750, 0.750)
Zn (0.250, 0.250, 0.250)
Zn (0.250, 0.750, 0.750)
Zn (0.750, 0.250, 0.750)
Zn (0.750, 0.750, 0.250)